Entry 1:
Entry from Alexandria via LeMat-Bulk: Te4C3 after structural relaxation (GGA-PBE).

Cell: 4.9902 4.9902 4.9902 Å, 90.00 90.00 90.00°
Fractional coordinates of all 7 atoms:
1 Te 0.0000 0.0000 0.0000
2 Te 0.0000 0.5000 0.5000
3 Te 0.5000 0.0000 0.5000
4 Te 0.5000 0.5000 0.0000
5 C 0.0000 0.0000 0.5000
6 C 0.0000 0.5000 0.0000
7 C 0.5000 0.0000 0.0000

Computed properties:
ΔE to the lowest computed polymorph in eV/atom: 0.209
Formation energy without anion corrections in eV/f.u.: 11.894


Entry 2:
Entry from Alexandria via LeMat-Bulk: MnPbW2 after structural relaxation (GGA-PBE).

Cell: 5.2015 5.2015 5.2015 Å, 141.06 127.70 67.09°
Fractional coordinates of all 4 atoms:
1 Mn 0.0000 0.0000 0.0000
2 Pb 0.2538 0.7538 0.5000
3 W 0.5239 0.5239 0.0000
4 W 0.7560 0.2560 0.5000

Computed properties:
Energy of formation in meV per atom: 716


Entry 3:
Entry from Alexandria via LeMat-Bulk: IrIO after structural relaxation (GGA-PBE).

Cell: 4.0643 4.0643 3.7488 Å, 90.00 90.00 90.00°
Fractional coordinates of all 3 atoms:
1 Ir 0.0000 0.0000 0.0000
2 I 0.5000 0.5000 0.0000
3 O 0.0000 0.0000 0.5000

Computed properties:
ΔE to the lowest computed polymorph in eV/atom: 0.000
Formation energy without anion corrections in eV/f.u.: -0.286


Entry 4:
Entry from Alexandria via LeMat-Bulk: LaHo2Ni after structural relaxation (GGA-PBE).

Cell: 3.4468 3.4468 8.9173 Å, 90.00 90.00 90.00°
Fractional coordinates of all 4 atoms:
1 La 0.0000 0.0000 0.0000
2 Ho 0.5000 0.5000 0.3218
3 Ho 0.5000 0.5000 0.6782
4 Ni 0.0000 0.0000 0.5000

Computed properties:
Energy of formation in meV per atom: -190
ΔE to the lowest computed polymorph in eV/atom: 0.015


Entry 5:
Entry from Alexandria via LeMat-Bulk: NdO after structural relaxation (GGA-PBE).

Cell: 3.5583 3.5583 5.9500 Å, 90.00 90.00 120.00°
Fractional coordinates of all 4 atoms:
1 Nd 0.3333 0.6667 0.2500
2 Nd 0.6667 0.3333 0.7500
3 O 0.0000 0.0000 0.0000
4 O 0.0000 0.0000 0.5000

Computed properties:
ΔE to the lowest computed polymorph in eV/atom: 0.036
Formation energy without anion corrections in eV/f.u.: -5.379


Entry 6:
Entry from Alexandria via LeMat-Bulk: Rb4Ac3DyTe8 after structural relaxation (GGA-PBE).

Cell: 10.2245 10.2245 10.2245 Å, 55.90 55.90 55.90°
Fractional coordinates of all 16 atoms:
1 Rb 0.0000 0.0000 0.0000
2 Rb 0.0000 0.5000 0.5000
3 Rb 0.5000 0.0000 0.5000
4 Rb 0.5000 0.5000 0.0000
5 Ac 0.0000 0.0000 0.5000
6 Ac 0.0000 0.5000 0.0000
7 Ac 0.5000 0.0000 0.0000
8 Dy 0.5000 0.5000 0.5000
9 Te 0.2386 0.2386 0.2386
10 Te 0.2522 0.7271 0.7271
11 Te 0.2729 0.2729 0.7478
12 Te 0.2729 0.7478 0.2729
13 Te 0.7271 0.2522 0.7271
14 Te 0.7271 0.7271 0.2522
15 Te 0.7478 0.2729 0.2729
16 Te 0.7614 0.7614 0.7614

Computed properties:
Formation energy without anion corrections in eV/f.u.: -23.295


Entry 7:
Entry from Alexandria via LeMat-Bulk: CdGaHg2 after structural relaxation (GGA-PBE).

Cell: 4.8863 4.8863 3.9360 Å, 90.00 90.00 90.00°
Fractional coordinates of all 4 atoms:
1 Cd 0.0000 0.0000 0.0000
2 Ga 0.5000 0.5000 0.0000
3 Hg 0.0000 0.5000 0.5000
4 Hg 0.5000 0.0000 0.5000

Computed properties:
Energy of formation in meV per atom: 44


Entry 8:
Entry from Alexandria via LeMat-Bulk: Sb2TePdRu after structural relaxation (GGA-PBE).

Cell: 5.1026 5.1026 5.3030 Å, 90.00 90.00 90.00°
Fractional coordinates of all 5 atoms:
1 Sb 0.0000 0.5000 0.0000
2 Sb 0.5000 0.0000 0.0000
3 Te 0.0000 0.0000 0.5000
4 Pd 0.0000 0.0000 0.0000
5 Ru 0.5000 0.5000 0.5000

Computed properties:
ΔE to the lowest computed polymorph in eV/atom: 0.394
Formation energy without anion corrections in eV/f.u.: 4.869


| no. | DOS(E_F) (states/eV/atom) | VASP energy (eV per atom) |
| --- | --- | --- |
| 1 | 0.45 | -4.049 |
| 2 | 0.62 | -8.980 |
| 3 | 0.99 | -5.218 |
| 4 | 0.92 | -5.156 |
| 5 | 0.61 | -7.552 |
| 6 | 0.00 | -4.327 |
| 7 | 0.23 | -1.092 |
| 8 | 1.13 | -4.197 |